Here is a geometry-optimized Co2NiMoN structure from Alexandria. Energies are from PBE.

Summary:
VASP energy: -7.8079 eV per atom
raw formation energy: 0.02 eV per atom
spin magnetization: 0.328 μB/atom

Cell and atoms, written as POSCAR:
```
Co2NiMoN
1.0
3.723 0.000 0.000
0.000 3.723 0.000
0.000 0.000 4.032
Co Ni Mo N
2 1 1 1
Direct
0.000 0.500 0.000
0.500 0.000 0.000
0.000 0.000 0.500
0.500 0.500 0.500
0.500 0.500 0.000
```